No. 1
The following is a DFT calculation (PBE-GGA) of a geometry-optimized YMgZr structure.

The value obtained for the calculated volume is 26.260 Å³/atom. The value obtained for the density of states at the Fermi level is 0.88 states/eV/atom.

The space group is Pmmn (No. 59, origin choice 2) and the conventional cell measures 3.4738, 4.3670 and 10.3865 Å, with angles of 90.00, 90.00 and 90.00 degrees. Symmetry generates all atoms from Y at (0.2500, 0.2500, 0.2456), Mg at (0.2500, 0.2500, 0.5766) and Zr at (0.2500, 0.2500, 0.9330).



No. 2
The following is a DFT calculation (PBE-GGA) of a geometry-optimized PdAuO2 structure.

The value obtained for the calculated volume is 14.480 Å³/atom. The uncorrected formation energy is 0.319 eV/atom. The value obtained for the density of states at the Fermi level is 1.38 states/eV/atom.

The space group is I-42d (No. 122) and the conventional cell measures 4.3186, 4.3186 and 12.4221 Å, with angles of 90.00, 90.00 and 90.00 degrees. Symmetry generates all atoms from Pd at (0.0000, 0.0000, 0.0000), Au at (0.0000, 0.0000, 0.5000) and O at (0.2123, 0.2500, 0.1250).



Number 1: ρ 4309 kg/m³, raw total energy -5.5323 eV/atom. Number 2: ρ 9615 kg/m³, raw total energy -4.2780 eV/atom.